1.
# LaScBr2 (PBE, relaxed)
data_LaScBr2
_space_group_name_H-M_alt 'P 1'
_space_group_IT_number 1
_space_group_name_Hall 'P 1'
_cell_length_a 9.267
_cell_length_b 9.267
_cell_length_c 9.267
_cell_angle_alpha 22.50
_cell_angle_beta 22.50
_cell_angle_gamma 22.50
loop_
_atom_site_label
_atom_site_fract_x
_atom_site_fract_y
_atom_site_fract_z
Br1 0.007 0.007 0.007
Br2 0.493 0.493 0.493
La1 0.250 0.250 0.250
Sc1 0.750 0.750 0.750
# * formation energy (no corrections): -967 meV/atom
# * crystal system: trigonal
# * space-group type: R-3m, No. 166


2.
# BaPaPdS3 (PBE, relaxed)
data_BaPaPdS3
_space_group_name_H-M_alt 'P 1'
_space_group_IT_number 1
_space_group_name_Hall 'P 1'
_cell_length_a 4.052
_cell_length_b 8.480
_cell_length_c 9.093
_cell_angle_alpha 106.99
_cell_angle_beta 90.00
_cell_angle_gamma 90.00
loop_
_atom_site_label
_atom_site_fract_x
_atom_site_fract_y
_atom_site_fract_z
Pd1 0.750 0.909 0.392
Pd2 0.250 0.091 0.608
Ba1 0.750 0.802 0.745
Ba2 0.250 0.198 0.255
S1 0.750 0.449 0.155
S2 0.250 0.551 0.845
S3 0.750 0.886 0.122
S4 0.250 0.114 0.878
S5 0.750 0.234 0.530
S6 0.250 0.766 0.470
Pa1 0.250 0.682 0.166
Pa2 0.750 0.318 0.834
# * formation energy (no corrections): -1517 meV/atom
# * crystal system: monoclinic
# * space-group type: P2_1/m, No. 11


3.
# BaCo2Te (PBE, relaxed)
data_BaCo2Te
_space_group_name_H-M_alt 'P 1'
_space_group_IT_number 1
_space_group_name_Hall 'P 1'
_cell_length_a 4.226
_cell_length_b 4.226
_cell_length_c 6.518
_cell_angle_alpha 71.07
_cell_angle_beta 71.07
_cell_angle_gamma 59.97
loop_
_atom_site_label
_atom_site_fract_x
_atom_site_fract_y
_atom_site_fract_z
Co1 0.270 0.270 0.189
Co2 0.941 0.941 0.177
Ba1 0.740 0.740 0.780
Te1 0.549 0.549 0.354
# * formation energy (no corrections): -181 meV/atom
# * crystal system: trigonal
# * space-group type: R3m, No. 160


4.
# KPuPt (PBE, relaxed)
data_KPuPt
_space_group_name_H-M_alt 'P 1'
_space_group_IT_number 1
_space_group_name_Hall 'P 1'
_cell_length_a 3.407
_cell_length_b 3.407
_cell_length_c 15.564
_cell_angle_alpha 110.85
_cell_angle_beta 110.85
_cell_angle_gamma 80.06
loop_
_atom_site_label
_atom_site_fract_x
_atom_site_fract_y
_atom_site_fract_z
Pu1 0.249 0.249 0.046
Pu2 0.751 0.751 0.954
Pt1 0.116 0.116 0.830
Pt2 0.884 0.884 0.170
K1 0.390 0.390 0.656
K2 0.610 0.610 0.344
# * crystal system: monoclinic
# * ΔE_f: -0.06 eV per atom
# * space-group type: C2/m, No. 12


5.
# NdCuGe (PBE, relaxed)
data_NdCuGe
_space_group_name_H-M_alt 'P 1'
_space_group_IT_number 1
_space_group_name_Hall 'P 1'
_cell_length_a 3.343
_cell_length_b 3.343
_cell_length_c 5.939
_cell_angle_alpha 106.35
_cell_angle_beta 106.35
_cell_angle_gamma 90.00
loop_
_atom_site_label
_atom_site_fract_x
_atom_site_fract_y
_atom_site_fract_z
Ge1 0.919 0.919 0.837
Cu1 0.311 0.311 0.622
Nd1 0.620 0.620 0.241
# * crystal system: tetragonal
# * ΔE_f: -0.23 eV per atom
# * space-group type: I4mm, No. 107


6.
# Li8Mg2Al (PBE, relaxed)
data_Li8Mg2Al
_space_group_name_H-M_alt 'P 1'
_space_group_IT_number 1
_space_group_name_Hall 'P 1'
_cell_length_a 5.034
_cell_length_b 7.568
_cell_length_c 7.904
_cell_angle_alpha 61.40
_cell_angle_beta 73.27
_cell_angle_gamma 53.05
loop_
_atom_site_label
_atom_site_fract_x
_atom_site_fract_y
_atom_site_fract_z
Li1 0.838 0.107 0.216
Li2 0.700 0.587 0.000
Li3 0.838 0.323 0.784
Li4 0.500 0.199 0.601
Li5 0.162 0.677 0.216
Li6 0.300 0.413 0.000
Li7 0.162 0.893 0.784
Li8 0.500 0.801 0.399
Mg1 0.000 0.309 0.382
Mg2 0.000 0.691 0.618
Al1 0.500 0.000 0.000
# * crystal system: monoclinic
# * ΔE_f: 0.03 eV per atom
# * space-group type: C2/m, No. 12